[1]
Zn2InBi2 after structural relaxation. Source: the Alexandria database, functional PBE.

The structure in POSCAR format:
```
Zn2InBi2
1.0
-2.444 2.444 5.825
2.444 -2.444 5.825
2.444 2.444 -5.825
Zn In Bi
2 1 2
Cartesian
0.000 0.000 1.209
0.000 0.000 10.441
0.000 0.000 5.825
2.444 0.000 2.912
0.000 2.444 2.912
```

Values from the calculation:
Symmetry = I4/mmm
Total moment = 0.0 μB/f.u.
Mass density = 7.92 g cm⁻³
Formation energy = 0.137 eV per atom
Calculated volume = 139 Å³ per cell
Electronic total energy = -2.4727 eV/atom



[2]
LiHfTi2As after structural relaxation. Source: the Alexandria database, functional PBE.

The structure in POSCAR format:
```
LiHfTi2As
1.0
4.447 0.000 0.000
0.000 4.447 0.000
0.000 0.000 4.231
Li Hf Ti As
1 1 2 1
Cartesian
0.000 0.000 0.000
2.223 2.223 2.115
0.000 2.223 0.000
2.223 0.000 0.000
0.000 0.000 2.115
```

Values from the calculation:
Symmetry = P4/mmm
Total moment = 1.2 μB/f.u.
Mass density = 7.07 g cm⁻³
Formation energy = 0.361 eV per atom
Calculated volume = 84 Å³ per cell
Electronic total energy = -6.1001 eV/atom



[3]
Tb6Te3Rh2S after structural relaxation. Source: the Alexandria database, functional PBE.

The structure in POSCAR format:
```
Tb6Te3Rh2S
1.0
3.587 -6.220 0.000
3.587 6.220 0.000
-2.427 0.000 7.192
Tb Te Rh S
6 3 2 1
Cartesian
-0.051 2.132 5.681
1.118 0.000 1.512
-0.051 -2.132 5.681
4.799 2.132 1.511
3.629 0.000 5.680
4.799 -2.132 1.511
-1.213 0.000 3.596
2.374 2.034 3.596
2.374 -2.034 3.596
3.587 4.138 0.000
3.587 -4.138 0.000
3.587 0.000 0.000
```

Values from the calculation:
Symmetry = C2/m
Total moment = 0.0 μB/f.u.
Mass density = 8.15 g cm⁻³
Calculated volume = 321 Å³ per cell
Uncorrected formation energy = -1.26 eV per atom
Electronic total energy = -5.9343 eV/atom



[4]
Ba3Nb6Si4O26 after structural relaxation. Source: the Alexandria database, functional PBE.

The structure in POSCAR format:
```
Ba3Nb6Si4O26
1.0
9.180 0.000 0.000
-4.590 7.950 0.000
0.000 0.000 7.849
Ba Nb Si O
3 6 4 26
Cartesian
-2.754 4.770 0.000
1.836 3.181 0.000
5.508 0.000 0.000
-1.096 1.898 2.007
-1.096 1.898 5.843
2.191 0.000 2.007
2.191 0.000 5.843
3.494 6.052 2.007
3.494 6.052 5.843
0.000 5.300 2.309
0.000 5.300 5.540
4.590 2.650 2.309
4.590 2.650 5.540
-1.060 1.835 0.000
-1.281 2.219 3.925
-3.782 6.551 2.083
-3.782 6.551 5.766
0.808 1.400 2.083
0.808 1.400 5.766
-0.553 3.885 1.696
-0.553 3.885 6.153
2.119 0.000 0.000
2.562 0.000 3.925
-0.949 6.486 1.696
-0.949 6.486 6.153
0.000 5.300 3.925
3.641 1.464 1.696
3.641 1.464 6.153
1.502 5.529 1.696
1.502 5.529 6.153
4.590 2.650 3.925
4.037 4.065 1.696
4.037 4.065 6.153
3.309 5.732 3.925
3.530 6.115 0.000
6.092 2.421 1.696
6.092 2.421 6.153
7.564 0.000 2.083
7.564 0.000 5.766
```

Values from the calculation:
Symmetry = P-62m
Total moment = 0.0 μB/f.u.
Mass density = 4.34 g cm⁻³
Calculated volume = 573 Å³ per cell
Uncorrected formation energy = -2.78 eV per atom
Electronic total energy = -8.3412 eV/atom



[5]
LiSm2SnSe5 after structural relaxation. Source: the Alexandria database, functional PBE.

The structure in POSCAR format:
```
LiSm2SnSe5
1.0
2.037 -8.701 0.000
2.037 8.701 0.000
0.000 0.000 12.327
Li Sm Sn Se
2 4 2 10
Cartesian
2.037 8.562 6.163
2.037 -8.562 0.000
2.037 2.061 3.807
2.037 1.949 8.562
2.037 -1.949 2.399
2.037 -2.061 9.970
2.037 3.343 0.125
2.037 -3.343 6.288
2.037 8.564 3.712
2.037 6.252 0.099
2.037 5.154 4.213
2.037 4.973 8.309
2.037 0.790 1.090
2.037 -0.790 7.253
2.037 -4.973 2.145
2.037 -5.154 10.377
2.037 -6.252 6.263
2.037 -8.564 9.875
```

Values from the calculation:
Symmetry = Cmc2_1
Total moment = 0.0 μB/f.u.
Mass density = 6.24 g cm⁻³
Calculated volume = 437 Å³ per cell
Uncorrected formation energy = -1.29 eV per atom
Electronic total energy = -4.9332 eV/atom



[6]
TbTm2ZrP4 after structural relaxation. Source: the Alexandria database, functional PBE.

The structure in POSCAR format:
```
TbTm2ZrP4
1.0
6.762 0.000 0.000
0.000 3.903 0.000
-2.236 0.000 6.390
Tb Tm Zr P
1 2 1 4
Cartesian
0.000 0.000 0.000
2.263 0.000 3.195
3.381 1.952 0.000
-1.118 1.952 3.195
-0.007 0.000 4.731
1.108 1.952 1.648
3.419 1.952 4.742
4.533 0.000 1.659
```

Values from the calculation:
Symmetry = P2/m
Total moment = 0.0 μB/f.u.
Mass density = 7.01 g cm⁻³
Formation energy = -1.544 eV per atom
Calculated volume = 169 Å³ per cell
Electronic total energy = -7.0139 eV/atom



[7]
CsK2Ag2Cl7 after structural relaxation. Source: the Alexandria database, functional PBE.

The structure in POSCAR format:
```
CsK2Ag2Cl7
1.0
3.674 -3.674 0.000
3.674 3.674 0.000
-3.672 0.000 12.934
Cs K Ag Cl
1 2 2 7
Cartesian
0.000 0.000 0.000
-0.013 0.000 4.670
3.688 0.000 8.263
0.001 0.000 10.349
3.675 0.000 2.585
1.836 1.835 2.570
-0.007 0.000 7.793
1.840 1.835 10.364
3.674 0.000 0.000
1.836 -1.835 2.570
3.683 0.000 5.141
1.840 -1.835 10.364
```

Values from the calculation:
Symmetry = C2/m
Total moment = 0.0 μB/f.u.
Mass density = 3.21 g cm⁻³
Calculated volume = 349 Å³ per cell
Uncorrected formation energy = -1.19 eV per atom
Electronic total energy = -3.0005 eV/atom



[8]
K2HfTlO4 after structural relaxation. Source: the Alexandria database, functional PBE.

The structure in POSCAR format:
```
K2HfTlO4
1.0
-2.942 2.942 4.914
2.942 -2.942 4.914
2.942 2.942 -4.914
K Hf Tl O
2 1 1 4
Cartesian
0.000 0.000 0.000
0.000 2.942 2.457
0.000 0.000 4.914
2.942 0.000 2.457
1.282 -1.021 3.822
1.921 1.660 1.093
1.660 3.963 -1.093
1.021 1.282 6.007
```

Values from the calculation:
Symmetry = I-4
Total moment = 0.0 μB/f.u.
Mass density = 5.12 g cm⁻³
Calculated volume = 170 Å³ per cell
Uncorrected formation energy = -1.95 eV per atom
Electronic total energy = -6.2414 eV/atom